Record 1
VASP calculation (PBE) on an optimized crystal structure of LiLaYCu2.

CIF file:
```
data_LiLaYCu2
_space_group_name_H-M_alt 'P 4/m m m'
_space_group_IT_number 123
_space_group_name_Hall '-P 4 2'
_cell_length_a 5.056
_cell_length_b 5.056
_cell_length_c 5.154
_cell_angle_alpha 90.00
_cell_angle_beta 90.00
_cell_angle_gamma 90.00
loop_
_atom_site_label
_atom_site_type_symbol
_atom_site_fract_x
_atom_site_fract_y
_atom_site_fract_z
Li1 Li 0.000 0.000 0.000
La1 La 0.500 0.500 0.000
Y1 Y 0.000 0.000 0.500
Cu1 Cu 0.000 0.500 0.500
```

Computed properties:
The formation energy comes out at 0.5456 eV per atom. Its uncorrected energy is -3.754 eV per atom. As for the magnetization: 0.0 μB/f.u.



Record 2
VASP calculation (PBE) on an optimized crystal structure of Li2LaZnCu.

CIF file:
```
data_Li2LaZnCu
_space_group_name_H-M_alt 'P 4/m m m'
_space_group_IT_number 123
_space_group_name_Hall '-P 4 2'
_cell_length_a 4.700
_cell_length_b 4.700
_cell_length_c 4.737
_cell_angle_alpha 90.00
_cell_angle_beta 90.00
_cell_angle_gamma 90.00
loop_
_atom_site_label
_atom_site_type_symbol
_atom_site_fract_x
_atom_site_fract_y
_atom_site_fract_z
Li1 Li 0.000 0.500 0.000
La1 La 0.000 0.000 0.500
Zn1 Zn 0.500 0.500 0.500
Cu1 Cu 0.500 0.500 0.000
```

Computed properties:
The formation energy comes out at 0.0355 eV per atom. Its uncorrected energy is -2.790 eV per atom. As for the magnetization: 0.6 μB/f.u.



Record 3
VASP calculation (PBE) on an optimized crystal structure of LiLa2ZnCu6.

CIF file:
```
data_LiLa2ZnCu6
_space_group_name_H-M_alt 'P -1'
_space_group_IT_number 2
_space_group_name_Hall '-P 1'
_cell_length_a 5.007
_cell_length_b 6.601
_cell_length_c 6.616
_cell_angle_alpha 78.92
_cell_angle_beta 67.90
_cell_angle_gamma 67.81
loop_
_atom_site_label
_atom_site_type_symbol
_atom_site_fract_x
_atom_site_fract_y
_atom_site_fract_z
Li1 Li 0.000 0.000 0.000
La1 La 0.245 0.303 0.205
Zn1 Zn 0.500 0.500 0.500
Cu1 Cu 0.232 0.768 0.267
Cu2 Cu 0.251 0.929 0.571
Cu3 Cu 0.268 0.231 0.734
```

Computed properties:
The formation energy comes out at -0.0813 eV per atom. Its uncorrected energy is -3.843 eV per atom. As for the magnetization: 0.0 μB/f.u.



Record 4
VASP calculation (PBE) on an optimized crystal structure of LiLa2Zn3Cu12.

CIF file:
```
data_LiLa2Zn3Cu12
_space_group_name_H-M_alt 'R -3 m'
_space_group_IT_number 166
_space_group_name_Hall '-R 3 2"'
_cell_length_a 6.2980
_cell_length_b 6.2980
_cell_length_c 26.4074
_cell_angle_alpha 90.00
_cell_angle_beta 90.00
_cell_angle_gamma 120.00
loop_
_atom_site_label
_atom_site_type_symbol
_atom_site_fract_x
_atom_site_fract_y
_atom_site_fract_z
Li1 Li 0.0000 0.0000 0.0000
La1 La 0.0000 0.0000 0.3458
Zn1 Zn 0.0000 0.5000 0.5000
Cu1 Cu 0.0598 0.5299 0.5944
Cu2 Cu 0.0754 0.5377 0.1170
```

Computed properties:
The formation energy comes out at 0.1270 eV per atom. Its uncorrected energy is -3.470 eV per atom. As for the magnetization: 0.0 μB/f.u.



Record 5
VASP calculation (PBE) on an optimized crystal structure of LaLuCu2.

CIF file:
```
data_LaLuCu2
_space_group_name_H-M_alt 'F m -3 m'
_space_group_IT_number 225
_space_group_name_Hall '-F 4 2 3'
_cell_length_a 7.071
_cell_length_b 7.071
_cell_length_c 7.071
_cell_angle_alpha 90.00
_cell_angle_beta 90.00
_cell_angle_gamma 90.00
loop_
_atom_site_label
_atom_site_type_symbol
_atom_site_fract_x
_atom_site_fract_y
_atom_site_fract_z
La1 La 0.000 0.000 0.000
Lu1 Lu 0.000 0.000 0.500
Cu1 Cu 0.250 0.250 0.250
```

Computed properties:
The formation energy comes out at -0.1821 eV per atom. Its uncorrected energy is -4.592 eV per atom. As for the magnetization: 0.0 μB/f.u. The value obtained for the relative energy among the computed polymorphs is 0.039 eV/atom.



Record 6
VASP calculation (PBE) on an optimized crystal structure of LaLuCu4.

CIF file:
```
data_LaLuCu4
_space_group_name_H-M_alt 'F -4 3 m'
_space_group_IT_number 216
_space_group_name_Hall 'F -4 2 3'
_cell_length_a 7.516
_cell_length_b 7.516
_cell_length_c 7.516
_cell_angle_alpha 90.00
_cell_angle_beta 90.00
_cell_angle_gamma 90.00
loop_
_atom_site_label
_atom_site_type_symbol
_atom_site_fract_x
_atom_site_fract_y
_atom_site_fract_z
La1 La 0.000 0.000 0.000
Lu1 Lu 0.250 0.250 0.750
Cu1 Cu 0.123 0.123 0.377
```

Computed properties:
The formation energy comes out at -0.1254 eV per atom. Its uncorrected energy is -4.431 eV per atom. As for the magnetization: 0.0 μB/f.u.